{"formula": "Rb3H12Pt5", "functional": "PBE", "state": "optimized geometry", "spacegroup": "Ia-3d (230)", "vol_a3_per_fu": 255.4, "m_tot_mub_per_fu": 0.0, "energy_ev_per_atom": -3.688, "lattice": [[10.9900, 0.0000, 0.0000], [-3.6633, 10.3614, 0.0000], [-3.6633, -5.1807, 8.9733]], "species": ["Rb", "Rb", "Rb", "Rb", "Rb", "Rb", "Rb", "Rb", "Rb", "Rb", "Rb", "Rb", "Pt", "Pt", "Pt", "Pt", "Pt", "Pt", "Pt", "Pt", "Pt", "Pt", "Pt", "Pt", "Pt", "Pt", "Pt", "Pt", "Pt", "Pt", "Pt", "Pt", "H", "H", "H", "H", "H", "H", "H", "H", "H", "H", "H", "H", "H", "H", "H", "H", "H", "H", "H", "H", "H", "H", "H", "H", "H", "H", "H", "H", "H", "H", "H", "H", "H", "H", "H", "H", "H", "H", "H", "H", "H", "H", "H", "H", "H", "H", "H", "H"], "fractional_positions": [[0.7500, 0.3750, 0.1250], [0.8750, 0.7500, 0.1250], [0.3750, 0.7500, 0.6250], [0.2500, 0.1250, 0.3750], [0.8750, 0.1250, 0.2500], [0.3750, 0.6250, 0.2500], [0.6250, 0.3750, 0.7500], [0.1250, 0.8750, 0.7500], [0.7500, 0.8750, 0.6250], [0.6250, 0.2500, 0.3750], [0.1250, 0.2500, 0.8750], [0.2500, 0.6250, 0.8750], [0.1250, 0.3750, 0.2500], [0.0000, 0.5000, 0.0000], [0.0000, 0.0000, 0.0000], [0.3750, 0.2500, 0.1250], [0.5000, 0.0000, 0.5000], [0.5000, 0.5000, 0.0000], [0.1250, 0.7500, 0.3750], [0.7500, 0.1250, 0.8750], [0.7500, 0.6250, 0.3750], [0.3750, 0.1250, 0.7500], [0.6250, 0.8750, 0.2500], [0.5000, 0.5000, 0.5000], [0.5000, 0.0000, 0.0000], [0.0000, 0.0000, 0.5000], [0.2500, 0.3750, 0.6250], [0.2500, 0.8750, 0.1250], [0.0000, 0.5000, 0.5000], [0.8750, 0.2500, 0.6250], [0.6250, 0.7500, 0.8750], [0.8750, 0.6250, 0.7500], [0.6483, 0.0718, 0.9610], [0.3126, 0.4610, 0.3892], [0.0390, 0.4282, 0.3517], [0.4610, 0.1483, 0.0718], [0.5765, 0.6483, 0.6874], [0.0390, 0.6108, 0.1874], [0.3126, 0.8517, 0.4235], [0.1108, 0.9235, 0.0718], [0.6108, 0.0390, 0.6874], [0.6483, 0.5765, 0.1874], [0.8517, 0.5390, 0.4282], [0.8126, 0.8892, 0.9610], [0.0718, 0.6483, 0.4610], [0.4282, 0.3892, 0.0765], [0.0765, 0.8892, 0.4282], [0.4235, 0.0718, 0.6108], [0.0765, 0.1874, 0.1483], [0.5390, 0.6874, 0.1108], [0.8126, 0.9235, 0.3517], [0.0718, 0.4235, 0.1108], [0.4282, 0.0390, 0.8517], [0.6108, 0.5718, 0.4235], [0.8892, 0.8126, 0.4610], [0.8517, 0.3126, 0.9235], [0.3892, 0.4282, 0.5765], [0.1108, 0.1874, 0.5390], [0.1483, 0.6874, 0.0765], [0.1874, 0.0765, 0.6483], [0.5718, 0.9610, 0.1483], [0.9282, 0.5765, 0.8892], [0.4610, 0.3126, 0.8892], [0.5765, 0.9282, 0.3892], [0.9235, 0.8126, 0.8517], [0.9235, 0.1108, 0.5718], [0.9282, 0.3517, 0.5390], [0.1874, 0.1108, 0.0390], [0.5718, 0.6108, 0.9235], [0.3892, 0.9610, 0.3126], [0.3517, 0.4235, 0.8126], [0.1483, 0.4610, 0.5718], [0.8892, 0.0765, 0.9282], [0.6874, 0.1483, 0.5765], [0.5390, 0.8517, 0.9282], [0.9610, 0.3892, 0.8126], [0.4235, 0.3517, 0.3126], [0.9610, 0.5718, 0.6483], [0.6874, 0.5390, 0.6108], [0.3517, 0.9282, 0.0390]]}